1.
! HfTi2HPd (PBE, relaxed); values from VASP
! Space group ... P4/mmm, No. 123
! Raw total energy ... -7.18 eV per atom
&SYSTEM
  ibrav = 0, nat = 5, ntyp = 4
/
ATOMIC_SPECIES
Pd 106.42 Pd.upf
Ti 47.87 Ti.upf
H 1.01 H.upf
Hf 178.49 Hf.upf
CELL_PARAMETERS angstrom
-0.520 0.474 -3.949
-1.218 -3.811 -0.297
-4.215 1.292 0.710
ATOMIC_POSITIONS angstrom
Pd -2.976 -1.022 -1.768
Ti -0.609 -1.905 -0.148
Ti -0.260 0.237 -1.975
H 0.000 0.000 0.000
Hf -2.107 0.646 0.355

---

2.
! CaHgWBr2 (PBE, relaxed); values from VASP
! Space group ... P4/mmm, No. 123
! Raw total energy ... -3.44 eV per atom
! Formation energy (no corrections) ... 0.284 eV/atom
&SYSTEM
  ibrav = 0, nat = 5, ntyp = 4
/
ATOMIC_SPECIES
W 183.84 W.upf
Hg 200.59 Hg.upf
Br 79.90 Br.upf
Ca 40.08 Ca.upf
CELL_PARAMETERS angstrom
-1.892 1.124 4.500
-5.214 -0.350 -2.105
-0.141 -4.871 1.158
ATOMIC_POSITIONS angstrom
W 0.000 0.000 0.000
Hg -2.607 -0.175 -1.053
Br -0.070 -2.436 0.579
Ca -3.623 -2.049 1.776
Br -0.946 0.562 2.250

---

3.
! Ni2SbOs (PBE, relaxed); values from VASP
! Space group ... Pmm2, No. 25
! Raw total energy ... -6.50 eV per atom
! Formation energy (no corrections) ... 0.231 eV/atom
&SYSTEM
  ibrav = 0, nat = 4, ntyp = 3
/
ATOMIC_SPECIES
Ni 58.69 Ni.upf
Os 190.23 Os.upf
Sb 121.76 Sb.upf
CELL_PARAMETERS angstrom
-1.372 -3.096 -2.463
2.755 -1.221 0.001
-1.070 -2.412 3.627
ATOMIC_POSITIONS angstrom
Ni -0.651 -2.399 -0.182
Os 1.254 -1.815 1.583
Sb 0.168 -4.270 1.715
Ni -0.685 -2.473 3.491

---

4.
! HfZrGeO2 (PBE, relaxed); values from VASP
! Space group ... P4/mmm, No. 123
! Raw total energy ... -7.98 eV per atom
! Formation energy (no corrections) ... -1.376 eV/atom
&SYSTEM
  ibrav = 0, nat = 5, ntyp = 4
/
ATOMIC_SPECIES
Hf 178.49 Hf.upf
O 16.00 O.upf
Zr 91.22 Zr.upf
Ge 72.64 Ge.upf
CELL_PARAMETERS angstrom
4.012 0.000 0.000
0.000 4.012 0.000
0.000 0.000 5.752
ATOMIC_POSITIONS angstrom
Hf 2.006 2.006 2.876
O 0.000 2.006 0.000
O 2.006 0.000 0.000
Zr 0.000 0.000 0.000
Ge 0.000 0.000 2.876

---

5.
! TcSnSe2 (PBE, relaxed); values from VASP
! Space group ... R-3m, No. 166
! Raw total energy ... -5.44 eV per atom
! Formation energy (no corrections) ... -0.109 eV/atom
&SYSTEM
  ibrav = 0, nat = 4, ntyp = 3
/
ATOMIC_SPECIES
Se 78.96 Se.upf
Tc 98.00 Tc.upf
Sn 118.71 Sn.upf
CELL_PARAMETERS angstrom
-2.889 3.386 8.486
0.420 3.734 8.815
-1.364 6.099 7.263
ATOMIC_POSITIONS angstrom
Se -3.420 11.795 21.915
Tc -1.917 6.610 12.282
Sn 0.000 0.000 0.000
Se -0.413 1.425 2.648